## TiIn3Pb (PBE)

Data for an optimized crystal structure of TiIn3Pb.

Lattice parameters (Å, degrees): 5.684 5.684 5.684 90.00 90.00 90.00
Space group Pm-3m (No. 221)
Asymmetric unit:
1 Ti 0.000 0.000 0.000
2 In 0.000 0.500 0.500
3 Pb 0.500 0.500 0.500

Summary:
* total DFT energy (no corrections): -2.808 eV per atom
* crystal system: cubic
* energy relative to the lowest polymorph listed for this composition: 759 meV per atom
* formation energy: 1.1554 eV/atom
* DOS(E_F): 2.875 states/eV/atom